(1)
# CaCdWI2 (PBE-GGA, relaxed)
# Size of the total moment = 6.00 μB/cell
# Space-group type = P4/mmm (123)
# V = 46.410 Å³ per atom
# Final energy = -14.52 eV per cell
data_CaCdWI2
_chemical_formula_sum 'Ca1 Cd1 W1 I2'
_space_group_name_H-M_alt 'P 1'
_space_group_IT_number 1
_cell_length_a 5.948
_cell_length_b 6.560
_cell_length_c 5.948
_cell_angle_alpha 90.00
_cell_angle_beta 90.00
_cell_angle_gamma 90.00
loop_
_space_group_symop_operation_xyz
'x,y,z'
loop_
_atom_site_label
_atom_site_type_symbol
_atom_site_fract_x
_atom_site_fract_y
_atom_site_fract_z
_atom_site_occupancy
W1 W 0.500 0.500 0.500 1
I1 I 0.000 0.000 0.500 1
I2 I 0.500 0.000 0.000 1
Cd1 Cd 0.000 0.500 0.000 1
Ca1 Ca 0.000 0.000 0.000 1

***

(2)
# La2TbPm3Sm6 (PBE-GGA, relaxed)
# Size of the total moment = 0.00 μB/cell
# Space-group type = C2/m (12)
# V = 34.411 Å³ per atom
# ΔE_f = 0.19 eV per formula unit
# Final energy = -56.86 eV per cell
data_La2TbPm3Sm6
_chemical_formula_sum 'La2 Tb1 Pm3 Sm6'
_space_group_name_H-M_alt 'P 1'
_space_group_IT_number 1
_cell_length_a 6.326
_cell_length_b 6.326
_cell_length_c 12.102
_cell_angle_alpha 95.02
_cell_angle_beta 95.02
_cell_angle_gamma 120.00
loop_
_space_group_symop_operation_xyz
'x,y,z'
loop_
_atom_site_label
_atom_site_type_symbol
_atom_site_fract_x
_atom_site_fract_y
_atom_site_fract_z
_atom_site_occupancy
Pm1 Pm 0.834 0.166 0.500 1
Pm2 Pm 0.166 0.834 0.500 1
Pm3 Pm 0.500 0.500 0.500 1
Sm1 Sm 0.248 0.248 0.748 1
Sm2 Sm 0.416 0.084 0.251 1
Sm3 Sm 0.916 0.584 0.749 1
Sm4 Sm 0.584 0.916 0.749 1
Sm5 Sm 0.084 0.416 0.251 1
Sm6 Sm 0.752 0.752 0.252 1
Tb1 Tb 0.000 0.000 0.000 1
La1 La 0.667 0.333 0.000 1
La2 La 0.333 0.667 0.000 1

***

(3)
# La3PmEr2Sb6 (PBE-GGA, relaxed)
# Size of the total moment = 0.00 μB/cell
# Space-group type = C2/m (12)
# V = 32.516 Å³ per atom
# Final energy = -67.72 eV per cell
data_La3PmEr2Sb6
_chemical_formula_sum 'La3 Pm1 Er2 Sb6'
_space_group_name_H-M_alt 'P 1'
_space_group_IT_number 1
_cell_length_a 7.827
_cell_length_b 7.827
_cell_length_c 7.804
_cell_angle_alpha 99.63
_cell_angle_beta 99.63
_cell_angle_gamma 119.99
loop_
_space_group_symop_operation_xyz
'x,y,z'
loop_
_atom_site_label
_atom_site_type_symbol
_atom_site_fract_x
_atom_site_fract_y
_atom_site_fract_z
_atom_site_occupancy
Sb1 Sb 0.921 0.582 0.762 1
Sb2 Sb 0.079 0.418 0.238 1
Sb3 Sb 0.260 0.260 0.764 1
Sb4 Sb 0.740 0.740 0.236 1
Sb5 Sb 0.582 0.921 0.762 1
Sb6 Sb 0.418 0.079 0.238 1
La1 La 0.835 0.165 0.500 1
La2 La 0.500 0.500 0.500 1
La3 La 0.165 0.835 0.500 1
Er1 Er 0.333 0.667 0.000 1
Er2 Er 0.667 0.333 0.000 1
Pm1 Pm 0.000 0.000 0.000 1